! TeHPdRuPt (PBE, optimized geometry); values from VASP
! - SG = No. 1
! - ΔE to the lowest computed polymorph (meV/atom) = 61.4
&SYSTEM
  ibrav = 0, nat = 5, ntyp = 5
/
ATOMIC_SPECIES
Te 127.60 Te.upf
Ru 101.07 Ru.upf
H 1.01 H.upf
Pt 195.08 Pt.upf
Pd 106.42 Pd.upf
CELL_PARAMETERS angstrom
2.9201 -0.0041 -0.0050
-0.0529 4.2302 0.0100
-1.4494 -1.4154 6.5917
ATOMIC_POSITIONS crystal
Te 0.9799 0.8712 0.4704
Ru 0.6432 0.9787 0.8019
H 0.5441 0.9158 0.0450
Pt 0.1995 0.5169 0.9124
Pd 0.8266 0.2873 0.2163

! TeHPdRuPt (PBE, optimized geometry); values from VASP
! - SG = No. 6
! - ΔE to the lowest computed polymorph (meV/atom) = 37.1
&SYSTEM
  ibrav = 0, nat = 5, ntyp = 5
/
ATOMIC_SPECIES
Pd 106.42 Pd.upf
Pt 195.08 Pt.upf
Te 127.60 Te.upf
Ru 101.07 Ru.upf
H 1.01 H.upf
CELL_PARAMETERS angstrom
4.2470 0.0000 -0.0144
0.0000 2.9336 0.0000
-2.0490 0.0000 6.4759
ATOMIC_POSITIONS crystal
Pd 0.1301 0.5000 0.2032
Pt 0.4988 0.5000 0.9143
Te 0.7638 0.5000 0.4656
Ru 0.9381 0.0000 0.8026
H 0.2390 0.0000 0.0603

! TeHPdRuPt (PBE, optimized geometry); values from VASP
! - SG = No. 1
! - ΔE to the lowest computed polymorph (meV/atom) = 91.5
&SYSTEM
  ibrav = 0, nat = 5, ntyp = 5
/
ATOMIC_SPECIES
H 1.01 H.upf
Te 127.60 Te.upf
Pd 106.42 Pd.upf
Pt 195.08 Pt.upf
Ru 101.07 Ru.upf
CELL_PARAMETERS angstrom
3.5435 0.0099 -0.0044
-0.0218 4.4223 0.0129
-1.7574 -2.1706 4.6834
ATOMIC_POSITIONS crystal
H 0.1384 0.5966 0.8934
Te 0.4096 0.1149 0.4320
Pd 0.6170 0.7095 0.8519
Pt 0.1787 0.2466 0.9748
Ru 0.8932 0.6931 0.4018

! TeHPdRuPt (PBE, optimized geometry); values from VASP
! - SG = No. 8
! - ΔE to the lowest computed polymorph (meV/atom) = 135.0
&SYSTEM
  ibrav = 0, nat = 10, ntyp = 5
/
ATOMIC_SPECIES
Pd 106.42 Pd.upf
Te 127.60 Te.upf
Pt 195.08 Pt.upf
Ru 101.07 Ru.upf
H 1.01 H.upf
CELL_PARAMETERS angstrom
4.1994 0.0000 0.0039
0.0000 3.0915 0.0000
-4.1365 0.0000 11.6445
ATOMIC_POSITIONS crystal
Pd 0.2313 0.0000 0.6249
Te 0.8673 0.5000 0.2719
Pt 0.6273 0.0000 0.0264
Ru 0.4278 0.5000 0.8383
Pd 0.2313 0.5000 0.1249
Pt 0.6273 0.5000 0.5264
H 0.0394 0.0000 0.0297
H 0.0394 0.5000 0.5297
Te 0.8673 0.0000 0.7719
Ru 0.4278 0.0000 0.3383

! TeHPdRuPt (PBE, optimized geometry); values from VASP
! - SG = No. 1
! - ΔE to the lowest computed polymorph (meV/atom) = 12.6
&SYSTEM
  ibrav = 0, nat = 5, ntyp = 5
/
ATOMIC_SPECIES
Te 127.60 Te.upf
Ru 101.07 Ru.upf
Pt 195.08 Pt.upf
Pd 106.42 Pd.upf
H 1.01 H.upf
CELL_PARAMETERS angstrom
-2.5702 2.7308 0.9249
-2.4554 -1.0778 -3.5241
-3.9611 -1.7754 2.0905
ATOMIC_POSITIONS crystal
Te 0.2914 0.5358 0.2883
Ru 0.9937 0.6262 0.8671
Pt 0.4517 0.1335 0.9357
Pd 0.7262 0.9381 0.3997
H 0.8978 0.0033 0.7183

! TeHPdRuPt (PBE, optimized geometry); values from VASP
! - SG = No. 6
! - ΔE to the lowest computed polymorph (meV/atom) = 77.9
&SYSTEM
  ibrav = 0, nat = 5, ntyp = 5
/
ATOMIC_SPECIES
H 1.01 H.upf
Pd 106.42 Pd.upf
Pt 195.08 Pt.upf
Te 127.60 Te.upf
Ru 101.07 Ru.upf
CELL_PARAMETERS angstrom
4.9116 0.0000 0.0020
0.0000 3.2270 0.0000
-1.7521 0.0000 4.5998
ATOMIC_POSITIONS crystal
H 0.4487 0.5000 0.0838
Pd 0.8251 0.0000 0.5017
Pt 0.7361 0.5000 0.9499
Te 0.2513 0.5000 0.4749
Ru 0.2543 0.0000 0.0590

! ScHPdPt2 (PBE, optimized geometry); values from VASP
! - SG = No. 123
! - ΔE to the lowest computed polymorph (meV/atom) = 0.0
&SYSTEM
  ibrav = 0, nat = 5, ntyp = 4
/
ATOMIC_SPECIES
Pt 195.08 Pt.upf
H 1.01 H.upf
Sc 44.96 Sc.upf
Pd 106.42 Pd.upf
CELL_PARAMETERS angstrom
-1.3872 -2.9894 2.3664
3.4136 0.1479 2.1878
-1.7062 2.7519 2.4762
ATOMIC_POSITIONS crystal
Pt 0.5000 0.0000 0.0000
H 0.0000 0.0000 0.0000
Sc 0.5000 0.5000 0.5000
Pt 0.0000 0.5000 0.0000
Pd 0.0000 0.0000 0.5000

! Sc2HPdPt (PBE, optimized geometry); values from VASP
! - SG = No. 123
! - ΔE to the lowest computed polymorph (meV/atom) = 38.9
&SYSTEM
  ibrav = 0, nat = 5, ntyp = 4
/
ATOMIC_SPECIES
Pd 106.42 Pd.upf
Sc 44.96 Sc.upf
H 1.01 H.upf
Pt 195.08 Pt.upf
CELL_PARAMETERS angstrom
4.5815 0.0000 0.0000
0.0000 4.5815 0.0000
0.0000 0.0000 3.6007
ATOMIC_POSITIONS crystal
Pd 0.5000 0.5000 0.5000
Sc 0.5000 0.0000 0.0000
H 0.0000 0.0000 0.0000
Pt 0.0000 0.0000 0.5000
Sc 0.0000 0.5000 0.0000

Number 1: raw total energy -26.38 eV/cell. Number 2: raw total energy -26.50 eV/cell. Number 3: raw total energy -26.23 eV/cell. Number 4: raw total energy -52.02 eV/cell. Number 5: raw total energy -26.62 eV/cell. Number 6: raw total energy -26.29 eV/cell. Number 7: raw total energy -30.73 eV/cell. Number 8: raw total energy -31.46 eV/cell.